First-principles (PBE) data for a relaxed structure of Sm3CSO, as listed in Alexandria via LeMat-Bulk.

* SG: P2_1/m, No. 11
* total energy: -7.080 eV per atom
* spin magnetization: 0.0 μB/cell

Structure (POSCAR):
```
Sm3CSO
1.0
3.8223 0.0000 0.0000
0.0000 7.9415 0.1772
0.0000 -1.9270 8.2804
Sm C S O
6 2 2 2
Cartesian
2.8668 6.6675 1.2994
0.9556 -0.6531 7.1583
0.9556 5.3953 4.0704
2.8668 0.6192 4.3872
2.8668 3.1940 1.3624
0.9556 2.8205 7.0953
0.9556 4.9847 1.2940
2.8668 1.0298 7.1636
0.9556 0.9599 1.7909
2.8668 5.0546 6.6668
0.9556 -0.4105 4.9238
2.8668 6.4249 3.5339
```